A plane-wave DFT calculation with PBE-GGA was carried out for an optimized crystal structure of Pr2TlAu6.

Geometry as POSCAR:
```
Pr2TlAu6
1.0
3.589 0.000 0.000
0.000 7.194 -4.154
0.000 0.000 8.307
Pr Tl Au
2 1 6
direct
0.000 0.333 0.667
0.000 0.667 0.333
0.000 0.000 0.000
0.500 0.334 0.334
0.500 0.666 0.666
0.500 0.000 0.666
0.500 0.666 0.000
0.500 0.334 0.000
0.500 0.000 0.334
```

Summary:
Energy of formation from the pure elements   -0.49 eV/atom